Density functional theory data (PBE) for a relaxed structure of CaDyPb6.

a b c (Å): 4.874 4.874 9.932
angles (deg): 90.00 90.00 90.00
Space group P4/mmm (No. 123)
Inequivalent atoms, fractional coordinates:
Ca: 0.000 0.000 0.000 (multiplicity 1)
Dy: 0.000 0.000 0.500 (multiplicity 1)
Pb: 0.000 0.500 0.252 (multiplicity 4)
Pb: 0.500 0.500 0.000 (multiplicity 1)
Pb: 0.500 0.500 0.500 (multiplicity 1)

Computed properties:
Calculated formation energy: -0.304 eV per atom
Total magnetic moment: 0.00 Bohr magnetons per cell
D(E_F): 0.499 states/eV/atom
Total DFT energy (no corrections): -31.3 eV/cell
Crystal system: tetragonal